KPAu, optimized geometry, DFT PBE-GGA; SG = F-43m; D(E_F) = 3.263 states/eV/cell; energy relative to the elements = 0.27 eV per atom
1.0
0.000 3.348 3.348
3.348 0.000 3.348
3.348 3.348 0.000
K P Au
1 1 1
Direct
0.000 0.000 0.000
0.250 0.250 0.250
0.500 0.500 0.500

---

K4P2Au, optimized geometry, DFT PBE-GGA; SG = R-3m; D(E_F) = 3.387 states/eV/cell; energy relative to the elements = -0.38 eV per atom
1.0
2.795 1.614 9.059
-2.795 1.614 9.059
0.000 -3.228 9.059
K P Au
4 2 1
Direct
0.119 0.119 0.119
0.293 0.293 0.293
0.707 0.707 0.707
0.881 0.881 0.881
0.414 0.414 0.414
0.586 0.586 0.586
0.500 0.500 0.500